No. 1
Density functional theory data (PBE) for a geometry-optimized LiTb4Ir structure.

The calculation puts the total energy at -118.45 eV per cell. The value obtained for the formation energy is -5 kJ/mol of atoms.

The structure belongs to space group I4_1md (No. 109); the cell edges are 10.0723, 10.0723 and 7.3703 Å and the angles 90.00°, 90.00° and 90.00°. The inequivalent atoms are Li at (0.0000, 0.0000, 0.0000), Tb at (0.0000, 0.1890, 0.3325), Tb at (0.0000, 0.2371, 0.8198) and Ir at (0.0000, 0.0000, 0.6081).

No. 2
Density functional theory data (PBE) for a geometry-optimized Pu2Al12Au7 structure.

The calculation puts the total energy at -105.28 eV per cell. The value obtained for the formation energy is -40 kJ/mol of atoms.

The structure belongs to space group P-3 (No. 147); the cell edges are 10.4904, 10.4904 and 4.1314 Å and the angles 90.00°, 90.00° and 120.00°. The inequivalent atoms are Pu at (0.3333, 0.6667, 0.2623), Al at (0.0541, 0.4352, 0.7462), Al at (0.1176, 0.2673, 0.2612), Au at (0.0000, 0.0000, 0.5000) and Au at (0.1180, 0.7076, 0.7644).

No. 3
Density functional theory data (PBE) for a geometry-optimized La2PmThSb4 structure.

The calculation puts the total energy at -48.00 eV per cell. For the uncorrected formation energy, the calculation gives -1.186 eV/atom.

The structure belongs to space group P2/m (No. 10); the cell edges are 7.8826, 4.5596 and 7.9119 Å and the angles 90.00°, 109.41° and 90.00°. The inequivalent atoms are La at (0.0000, 0.0000, 0.0000), La at (0.5000, 0.5000, 0.0000), Pm at (0.0000, 0.5000, 0.5000), Th at (0.5000, 0.0000, 0.5000), Sb at (0.2483, 0.0000, 0.7432) and Sb at (0.2523, 0.5000, 0.2568).

No. 4
Density functional theory data (PBE) for a geometry-optimized Hf6CoAu3 structure.

The calculation puts the total energy at -157.96 eV per cell. The value obtained for the formation energy is -22 kJ/mol of atoms.

The structure belongs to space group Pnnm (No. 58); the cell edges are 8.1472, 10.5193 and 4.6779 Å and the angles 90.00°, 90.00° and 90.00°. The inequivalent atoms are Hf at (0.0185, 0.2340, 0.0000), Hf at (0.1583, 0.0806, 0.5000), Hf at (0.1917, 0.4113, 0.5000), Co at (0.0000, 0.0000, 0.0000), Au at (0.0000, 0.5000, 0.0000) and Au at (0.1451, 0.7172, 0.5000).

No. 5
Density functional theory data (PBE) for a geometry-optimized VCl3 structure.

The calculation puts the total energy at -44.53 eV per cell. For the uncorrected formation energy, the calculation gives -0.046 eV/atom.

The structure belongs to space group R-3m (No. 166, hexagonal axes); the cell edges are 3.2875, 3.2875 and 32.2012 Å and the angles 90.00°, 90.00° and 120.00°. The inequivalent atoms are V at (0.0000, 0.0000, 0.0000), Cl at (0.0000, 0.0000, 0.0658) and Cl at (0.0000, 0.0000, 0.5000).

No. 6
Density functional theory data (PBE) for a geometry-optimized Th2MgPb structure.

The calculation puts the total energy at -58.32 eV per cell. The value obtained for the formation energy is 17 kJ/mol of atoms.

The structure belongs to space group R-3m (No. 166, hexagonal axes); the cell edges are 3.4445, 3.4445 and 36.6894 Å and the angles 90.00°, 90.00° and 120.00°. The inequivalent atoms are Th at (0.0000, 0.0000, 0.0896), Mg at (0.0000, 0.0000, 0.5000) and Pb at (0.0000, 0.0000, 0.0000).

No. 7
Density functional theory data (PBE) for a geometry-optimized SmCdInIr structure.

The calculation puts the total energy at -73.57 eV per cell. The value obtained for the formation energy is -28 kJ/mol of atoms.

The structure belongs to space group F-43m (No. 216); the cell edges are 7.0003, 7.0003 and 7.0003 Å and the angles 90.00°, 90.00° and 90.00°. The inequivalent atoms are Sm at (0.0000, 0.0000, 0.0000), Cd at (0.2500, 0.2500, 0.2500), In at (0.0000, 0.0000, 0.5000) and Ir at (0.2500, 0.2500, 0.7500).

No. 8
Density functional theory data (PBE) for a geometry-optimized Rb4MgPb4 structure.

The calculation puts the total energy at -38.80 eV per cell. The value obtained for the formation energy is 10 kJ/mol of atoms.

The structure belongs to space group I-42m (No. 121); the cell edges are 7.3916, 7.3916 and 17.0663 Å and the angles 90.00°, 90.00° and 90.00°. The inequivalent atoms are Rb at (0.1761, 0.1761, 0.3694), Mg at (0.0000, 0.0000, 0.0000) and Pb at (0.1452, 0.1452, 0.1505).

No. 9
Density functional theory data (PBE) for a geometry-optimized SrZrPb2 structure.

The calculation puts the total energy at -67.35 eV per cell. The value obtained for the formation energy is 20 kJ/mol of atoms.

The structure belongs to space group I-42d (No. 122); the cell edges are 5.5115, 5.5115 and 19.8052 Å and the angles 90.00°, 90.00° and 90.00°. The inequivalent atoms are Sr at (0.0000, 0.0000, 0.0000), Zr at (0.0000, 0.0000, 0.5000) and Pb at (0.1460, 0.2500, 0.6250).

No. 10
Density functional theory data (PBE) for a geometry-optimized CeSmScHg structure.

The calculation puts the total energy at -69.18 eV per cell. The value obtained for the formation energy is 0 kJ/mol of atoms.

The structure belongs to space group F-43m (No. 216); the cell edges are 7.4570, 7.4570 and 7.4570 Å and the angles 90.00°, 90.00° and 90.00°. The inequivalent atoms are Ce at (0.0000, 0.0000, 0.0000), Sm at (0.2500, 0.2500, 0.7500), Sc at (0.2500, 0.2500, 0.2500) and Hg at (0.0000, 0.0000, 0.5000).

No. 11
Density functional theory data (PBE) for a geometry-optimized Nd7AlSn5 structure.

The calculation puts the total energy at -125.63 eV per cell. The value obtained for the formation energy is -42 kJ/mol of atoms.

The structure belongs to space group Imm2 (No. 44); the cell edges are 6.3348, 11.5514 and 10.9038 Å and the angles 90.00°, 90.00° and 90.00°. The inequivalent atoms are Nd at (0.0000, 0.0000, 0.0000), Nd at (0.0000, 0.0000, 0.3994), Nd at (0.0000, 0.3273, 0.6155), Nd at (0.0000, 0.3397, 0.0978), Nd at (0.0000, 0.5000, 0.3406), Al at (0.0000, 0.0000, 0.6988), Sn at (0.0000, 0.5000, 0.8493) and Sn at (0.2484, 0.2409, 0.8612).

No. 12
Density functional theory data (PBE) for a geometry-optimized Mg2NiAgI structure.

The calculation puts the total energy at -12.38 eV per cell. For the uncorrected formation energy, the calculation gives 0.198 eV/atom.

The structure belongs to space group P4/mmm (No. 123); the cell edges are 4.9819, 4.9819 and 4.9417 Å and the angles 90.00°, 90.00° and 90.00°. The inequivalent atoms are Mg at (0.0000, 0.5000, 0.0000), Ni at (0.0000, 0.0000, 0.0000), Ag at (0.0000, 0.0000, 0.5000) and I at (0.5000, 0.5000, 0.5000).

Quick rundown of size of the total moment, same order as above: 0.0 11.2 0.0 0.0 1.6 0.0 0.0 0.0 0.0 3.3 0.0 0.0 μB per formula unit